Entry 1:
KZrAs2 | the Alexandria database | PBE | relaxed; DOS at the Fermi energy = 0.39 states/eV per atom; total DFT energy (no corrections) = -5.3405 eV/atom; theoretical density = 4.9 g cm⁻³; total magnetization = 0.00 μB per atom; excess energy over the best structure of this formula in the dataset = 62 meV/atom
1.0
3.3471 0.0147 0.0000
-0.7008 3.2730 0.0000
0.0000 0.0000 8.6232
K Zr As
1 1 2
Cartesian
1.3232 1.6438 2.1558
1.3232 1.6438 6.4674
0.0000 0.0000 8.2507
0.0000 0.0000 4.6841

=====

Entry 2:
KZrAs | the Alexandria database | PBE | relaxed; DOS at the Fermi energy = 2.36 states/eV per atom; total DFT energy (no corrections) = -3.6344 eV/atom; theoretical density = 4.0 g cm⁻³; total magnetization = 0.67 μB per atom
1.0
-4.0953 2.7953 0.0995
-4.2402 -1.7455 -1.8891
-3.7494 -1.2011 3.0158
As K Zr
1 1 1
Cartesian
-6.0425 -0.0756 0.6131
-9.0637 -0.1135 0.9196
0.0000 0.0000 0.0000

=====

Entry 3:
KZrAs2 | the Alexandria database | PBE | relaxed; DOS at the Fermi energy = 0.96 states/eV per atom; total DFT energy (no corrections) = -4.5262 eV/atom; theoretical density = 4.6 g cm⁻³; total magnetization = 0.00 μB per atom; excess energy over the best structure of this formula in the dataset = 876 meV/atom
1.0
-1.3038 1.7927 2.0816
0.1100 -2.3964 1.8686
9.8028 3.1334 3.4412
Zr As K
1 2 1
Cartesian
7.3147 2.2270 4.7524
1.7113 0.4359 2.7854
9.6491 3.0842 3.3872
4.6382 1.4826 1.6282

=====

Entry 4:
KZrAs2 | the Alexandria database | PBE | relaxed; DOS at the Fermi energy = 0.32 states/eV per atom; total DFT energy (no corrections) = -5.0967 eV/atom; theoretical density = 2.9 g cm⁻³; total magnetization = 0.00 μB per atom; excess energy over the best structure of this formula in the dataset = 306 meV/atom
1.0
-3.2093 -5.3424 0.7584
5.3950 -3.1931 0.3375
1.2193 -3.2102 8.5325
As K Zr
4 2 2
Cartesian
-1.2428 -7.4674 7.1037
-1.8150 -5.8530 2.8356
0.8546 -7.4961 3.0110
0.4089 -4.8241 6.7274
1.0929 -4.2677 0.5480
3.8536 -5.3355 4.7089
0.0000 0.0000 0.0000
-0.4486 -6.4101 4.9194